No. 1
{"formula": "CdInGa2Cu", "functional": "PBE-GGA", "state": "optimized geometry", "lattice_angstrom": [[4.706, 0.000, 0.000], [0.000, 4.706, 0.000], [0.000, 0.000, 5.232]], "species": ["Cd", "In", "Ga", "Ga", "Cu"], "frac_coords": [[0.000, 0.000, 0.000], [0.500, 0.500, 0.000], [0.000, 0.500, 0.500], [0.500, 0.000, 0.500], [0.500, 0.500, 0.500]], "de_polymorph_mev_per_atom": 11.2, "formation_enthalpy_0k_mev_per_atom": 148}

No. 2
{"formula": "Y2ZrCl", "functional": "PBE-GGA", "state": "optimized geometry", "lattice_angstrom": [[1.766, 1.020, 9.565], [-1.766, 1.020, 9.565], [0.000, -2.040, 9.565]], "species": ["Y", "Y", "Zr", "Cl"], "frac_coords": [[0.243, 0.243, 0.243], [0.757, 0.757, 0.757], [0.000, 0.000, 0.000], [0.500, 0.500, 0.500]], "de_polymorph_mev_per_atom": 0.0, "raw_formation_energy_ev_per_fu": -2.5}

No. 3
{"formula": "AgIrCl2", "functional": "PBE-GGA", "state": "optimized geometry", "lattice_angstrom": [[1.759, -2.655, 0.000], [1.759, 2.655, 0.000], [0.000, 0.000, 8.678]], "species": ["Ag", "Ir", "Cl", "Cl"], "frac_coords": [[0.000, 0.000, 0.000], [0.500, 0.500, 0.767], [0.000, 0.000, 0.586], [0.500, 0.500, 0.208]], "de_polymorph_mev_per_atom": 289.4, "raw_formation_energy_ev_per_fu": 1.3}

No. 4
{"formula": "LaBe2Se", "functional": "PBE-GGA", "state": "optimized geometry", "lattice_angstrom": [[2.085, 1.204, 4.959], [-2.085, 1.204, 4.959], [0.000, -2.408, 4.959]], "species": ["La", "Be", "Be", "Se"], "frac_coords": [[0.000, 0.000, 0.000], [0.203, 0.203, 0.203], [0.797, 0.797, 0.797], [0.500, 0.500, 0.500]], "raw_formation_energy_ev_per_fu": 0.1}

No. 5
{"formula": "Sc2TiPt", "functional": "PBE-GGA", "state": "optimized geometry", "lattice_angstrom": [[-3.822, 3.822, 2.857], [3.822, -3.822, 2.857], [3.822, 3.822, -2.857]], "species": ["Sc", "Sc", "Sc", "Sc", "Ti", "Ti", "Pt", "Pt"], "frac_coords": [[0.082, 0.625, 0.957], [0.375, 0.332, 0.457], [0.668, 0.125, 0.043], [0.875, 0.918, 0.543], [0.250, 0.750, 0.500], [0.500, 0.500, 0.000], [0.000, 0.000, 0.000], [0.750, 0.250, 0.500]], "formation_enthalpy_0k_mev_per_atom": -255}

No. 6
{"formula": "Li2ZrFe", "functional": "PBE-GGA", "state": "optimized geometry", "lattice_angstrom": [[2.752, 0.000, 0.000], [0.000, 2.752, 0.000], [0.000, 0.000, 8.900]], "species": ["Li", "Li", "Zr", "Fe"], "frac_coords": [[0.000, 0.000, 0.213], [0.000, 0.000, 0.787], [0.500, 0.500, 0.500], [0.500, 0.500, 0.000]], "de_polymorph_mev_per_atom": 243.5, "formation_enthalpy_0k_mev_per_atom": 419}

No. 7
{"formula": "LiYSbI2", "functional": "PBE-GGA", "state": "optimized geometry", "lattice_angstrom": [[5.145, 0.000, 0.000], [0.000, 5.145, 0.000], [0.000, 0.000, 5.733]], "species": ["Li", "Y", "Sb", "I", "I"], "frac_coords": [[0.000, 0.000, 0.000], [0.500, 0.500, 0.500], [0.000, 0.000, 0.500], [0.000, 0.500, 0.000], [0.500, 0.000, 0.000]], "de_polymorph_mev_per_atom": 213.3, "raw_formation_energy_ev_per_fu": -1.5}

No. 8
{"formula": "TbDyHf2", "functional": "PBE-GGA", "state": "optimized geometry", "lattice_angstrom": [[4.649, 0.000, 0.000], [0.000, 4.649, 0.000], [0.000, 0.000, 4.817]], "species": ["Tb", "Dy", "Hf", "Hf"], "frac_coords": [[0.000, 0.000, 0.000], [0.500, 0.500, 0.000], [0.000, 0.500, 0.500], [0.500, 0.000, 0.500]], "formation_enthalpy_0k_mev_per_atom": 197}

No. 9
{"formula": "Ac12AlSi5", "functional": "PBE-GGA", "state": "optimized geometry", "lattice_angstrom": [[-5.260, 5.345, 5.530], [5.260, -5.345, 5.530], [5.260, 5.345, -5.530]], "species": ["Ac", "Ac", "Ac", "Ac", "Ac", "Ac", "Ac", "Ac", "Ac", "Ac", "Ac", "Ac", "Al", "Si", "Si", "Si", "Si", "Si"], "frac_coords": [[0.039, 0.237, 0.803], [0.177, 0.270, 0.447], [0.177, 0.730, 0.907], [0.323, 0.029, 0.706], [0.323, 0.617, 0.294], [0.434, 0.237, 0.197], [0.566, 0.763, 0.803], [0.677, 0.383, 0.706], [0.677, 0.971, 0.294], [0.823, 0.270, 0.093], [0.823, 0.730, 0.553], [0.961, 0.763, 0.197], [0.500, 0.500, 0.000], [0.000, 0.000, 0.000], [0.109, 0.609, 0.500], [0.381, 0.000, 0.381], [0.619, 0.000, 0.619], [0.891, 0.391, 0.500]], "raw_formation_energy_ev_per_fu": -6.3}

No. 10
{"formula": "La4CdIn", "functional": "PBE-GGA", "state": "optimized geometry", "lattice_angstrom": [[3.844, -3.844, 0.000], [3.844, 3.844, 0.000], [-0.009, 0.000, 7.601]], "species": ["La", "La", "La", "La", "Cd", "In"], "frac_coords": [[0.000, 0.500, 0.247], [0.000, 0.500, 0.753], [0.500, 0.000, 0.247], [0.500, 0.000, 0.753], [0.000, 0.000, 0.000], [0.500, 0.500, 0.500]], "de_polymorph_mev_per_atom": 201.1, "formation_enthalpy_0k_mev_per_atom": -58}